No. 1
VASP calculation (PBE) on a relaxed structure of Ho2TmFe.

Cell lengths 10.671, 10.671, 10.671 Å; angles 18.48, 18.48, 18.48 degrees
Fractional coordinates of all 4 atoms:
Ho1 0.107 0.107 0.107
Ho2 0.893 0.893 0.893
Tm1 0.000 0.000 0.000
Fe1 0.500 0.500 0.500

Summary:
calculated formation energy	337	meV/atom
offset from the most stable computed form	0.3675	eV per atom
space-group type	No. 166
M_tot	0.58	μB/cell

No. 2
VASP calculation (PBE) on a relaxed structure of Hf2Mg2Re.

Cell lengths 6.989, 6.989, 3.948 Å; angles 90.00, 90.00, 90.00 degrees
Fractional coordinates of all 10 atoms:
Hf1 0.182 0.318 0.000
Hf2 0.318 0.818 0.000
Hf3 0.682 0.182 0.000
Hf4 0.818 0.682 0.000
Mg1 0.129 0.629 0.500
Mg2 0.371 0.129 0.500
Mg3 0.629 0.871 0.500
Mg4 0.871 0.371 0.500
Re1 0.000 0.000 0.500
Re2 0.500 0.500 0.500

Summary:
calculated formation energy	561	meV/atom
offset from the most stable computed form	0.0000	eV per atom
space-group type	No. 127
M_tot	0.00	μB/cell

No. 3
VASP calculation (PBE) on a relaxed structure of CsTl3Ge.

Cell lengths 6.404, 6.404, 6.404 Å; angles 90.00, 90.00, 90.00 degrees
Fractional coordinates of all 5 atoms:
Cs1 0.000 0.000 0.000
Tl1 0.000 0.000 0.500
Tl2 0.000 0.500 0.000
Tl3 0.500 0.000 0.000
Ge1 0.500 0.500 0.500

Summary:
calculated formation energy	1135	meV/atom
offset from the most stable computed form	1.1349	eV per atom
space-group type	No. 221
M_tot	0.00	μB/cell

No. 4
VASP calculation (PBE) on a relaxed structure of Nd3Cu4Pt2.

Cell lengths 5.808, 5.808, 8.523 Å; angles 108.15, 108.15, 43.26 degrees
Fractional coordinates of all 9 atoms:
Nd1 0.000 0.000 0.000
Nd2 0.327 0.327 0.341
Nd3 0.673 0.673 0.659
Cu1 0.043 0.043 0.386
Cu2 0.275 0.275 0.948
Cu3 0.725 0.725 0.052
Cu4 0.957 0.957 0.614
Pt1 0.390 0.390 0.728
Pt2 0.610 0.610 0.272

Summary:
calculated formation energy	-570	meV/atom
space-group type	No. 12
M_tot	0.00	μB/cell

No. 5
VASP calculation (PBE) on a relaxed structure of Sc3Pd.

Cell lengths 4.358, 4.358, 4.358 Å; angles 90.00, 90.00, 90.00 degrees
Fractional coordinates of all 4 atoms:
Sc1 0.000 0.000 0.500
Sc2 0.000 0.500 0.000
Sc3 0.500 0.000 0.000
Pd1 0.500 0.500 0.500

Summary:
calculated formation energy	-303	meV/atom
space-group type	No. 221
M_tot	1.40	μB/cell

No. 6
VASP calculation (PBE) on a relaxed structure of YPNO2.

Cell lengths 4.224, 4.224, 6.555 Å; angles 90.00, 90.00, 90.00 degrees
Fractional coordinates of all 5 atoms:
Y1 0.000 0.000 0.000
P1 0.000 0.000 0.500
N1 0.500 0.500 0.500
O1 0.000 0.500 0.000
O2 0.500 0.000 0.000

Summary:
energy relative to the elements, uncorrected	0.3672	eV per atom
space-group type	No. 123
M_tot	1.32	μB/cell

No. 7
VASP calculation (PBE) on a relaxed structure of Ac2SiRh6.

Cell lengths 6.185, 6.185, 6.185 Å; angles 60.00, 60.00, 60.00 degrees
Fractional coordinates of all 9 atoms:
Ac1 0.250 0.250 0.250
Ac2 0.750 0.750 0.750
Si1 0.000 0.000 0.000
Rh1 0.269 0.269 0.731
Rh2 0.269 0.731 0.269
Rh3 0.269 0.731 0.731
Rh4 0.731 0.269 0.269
Rh5 0.731 0.269 0.731
Rh6 0.731 0.731 0.269

Summary:
energy relative to the elements, uncorrected	-0.6084	eV per atom
space-group type	No. 225
M_tot	0.00	μB/cell

No. 8
VASP calculation (PBE) on a relaxed structure of KReI2O.

Cell lengths 6.266, 6.266, 4.402 Å; angles 90.00, 90.00, 90.00 degrees
Fractional coordinates of all 5 atoms:
K1 0.000 0.000 0.000
Re1 0.500 0.500 0.500
I1 0.000 0.500 0.000
I2 0.500 0.000 0.000
O1 0.000 0.000 0.500

Summary:
energy relative to the elements, uncorrected	1.3695	eV per atom
offset from the most stable computed form	1.9431	eV per atom
space-group type	No. 123
M_tot	5.33	μB/cell

No. 9
VASP calculation (PBE) on a relaxed structure of CoP3W.

Cell lengths 4.647, 4.647, 4.647 Å; angles 90.00, 90.00, 90.00 degrees
Fractional coordinates of all 5 atoms:
Co1 0.000 0.000 0.000
P1 0.000 0.500 0.500
P2 0.500 0.000 0.500
P3 0.500 0.500 0.000
W1 0.500 0.500 0.500

Summary:
calculated formation energy	1095	meV/atom
offset from the most stable computed form	0.1091	eV per atom
space-group type	No. 221
M_tot	0.00	μB/cell

No. 10
VASP calculation (PBE) on a relaxed structure of BaPm2I8.

Cell lengths 9.666, 9.666, 8.465 Å; angles 99.19, 99.19, 60.88 degrees
Fractional coordinates of all 11 atoms:
Ba1 0.000 0.000 0.000
Pm1 0.185 0.185 0.647
Pm2 0.815 0.815 0.353
I1 0.133 0.679 0.231
I2 0.179 0.179 0.291
I3 0.321 0.867 0.769
I4 0.357 0.357 0.792
I5 0.643 0.643 0.208
I6 0.679 0.133 0.231
I7 0.821 0.821 0.709
I8 0.867 0.321 0.769

Summary:
energy relative to the elements, uncorrected	-1.3702	eV per atom
space-group type	No. 12
M_tot	0.00	μB/cell

No. 11
VASP calculation (PBE) on a relaxed structure of CsAc2RuO8.

Cell lengths 4.580, 5.401, 8.195 Å; angles 89.98, 74.50, 89.95 degrees
Fractional coordinates of all 12 atoms:
Cs1 0.000 0.000 0.000
Ac1 0.372 0.500 0.308
Ac2 0.628 0.500 0.692
Ru1 0.000 0.000 0.500
O1 0.181 0.262 0.603
O2 0.182 0.740 0.603
O3 0.332 0.000 0.303
O4 0.335 0.499 0.004
O5 0.665 0.501 0.996
O6 0.668 0.000 0.697
O7 0.818 0.260 0.397
O8 0.819 0.738 0.397

Summary:
energy relative to the elements, uncorrected	-1.8826	eV per atom
space-group type	No. 2
M_tot	0.79	μB/cell

No. 12
VASP calculation (PBE) on a relaxed structure of ErTiCu2.

Cell lengths 4.627, 4.627, 4.627 Å; angles 60.00, 60.00, 60.00 degrees
Fractional coordinates of all 4 atoms:
Er1 0.000 0.000 0.000
Ti1 0.500 0.500 0.500
Cu1 0.250 0.250 0.250
Cu2 0.750 0.750 0.750

Summary:
calculated formation energy	-60	meV/atom
offset from the most stable computed form	0.0519	eV per atom
space-group type	No. 225
M_tot	1.34	μB/cell

No. 13
VASP calculation (PBE) on a relaxed structure of Pr2NiSb3Rh4.

Cell lengths 4.373, 4.373, 10.800 Å; angles 90.00, 90.00, 90.00 degrees
Fractional coordinates of all 10 atoms:
Pr1 0.000 0.500 0.235
Pr2 0.500 0.000 0.765
Ni1 0.500 0.500 0.000
Sb1 0.000 0.000 0.000
Sb2 0.000 0.500 0.637
Sb3 0.500 0.000 0.363
Rh1 0.000 0.000 0.500
Rh2 0.000 0.500 0.874
Rh3 0.500 0.000 0.126
Rh4 0.500 0.500 0.500

Summary:
energy relative to the elements, uncorrected	-0.7140	eV per atom
space-group type	No. 115
M_tot	0.40	μB/cell

No. 14
VASP calculation (PBE) on a relaxed structure of LaH5.

Cell lengths 3.989, 3.989, 4.425 Å; angles 90.00, 90.00, 120.84 degrees
Fractional coordinates of all 6 atoms:
La1 0.000 0.000 0.000
H1 0.330 0.670 0.000
H2 0.350 0.650 0.500
H3 0.500 0.500 0.500
H4 0.650 0.350 0.500
H5 0.670 0.330 0.000

Summary:
electronic total energy	-21.70	eV for the cell shown
space-group type	No. 65
M_tot	0.00	μB/cell

No. 15
VASP calculation (PBE) on a relaxed structure of MnZnNi6.

Cell lengths 5.077, 5.077, 3.533 Å; angles 90.00, 90.00, 90.00 degrees
Fractional coordinates of all 8 atoms:
Mn1 0.000 0.000 0.000
Zn1 0.500 0.500 0.000
Ni1 0.000 0.500 0.000
Ni2 0.249 0.249 0.500
Ni3 0.249 0.751 0.500
Ni4 0.500 0.000 0.000
Ni5 0.751 0.249 0.500
Ni6 0.751 0.751 0.500

Summary:
calculated formation energy	-114	meV/atom
offset from the most stable computed form	0.0000	eV per atom
space-group type	No. 123
M_tot	6.19	μB/cell

No. 16
VASP calculation (PBE) on a relaxed structure of LaGa6Ag2.

Cell lengths 8.307, 8.307, 2.971 Å; angles 90.00, 90.00, 120.00 degrees
Fractional coordinates of all 9 atoms:
La1 0.000 0.000 0.000
Ga1 0.000 0.346 0.500
Ga2 0.000 0.654 0.500
Ga3 0.346 0.000 0.500
Ga4 0.346 0.346 0.500
Ga5 0.654 0.000 0.500
Ga6 0.654 0.654 0.500
Ag1 0.333 0.667 0.000
Ag2 0.667 0.333 0.000

Summary:
calculated formation energy	-123	meV/atom
offset from the most stable computed form	0.0609	eV per atom
space-group type	No. 191
M_tot	0.00	μB/cell

No. 17
VASP calculation (PBE) on a relaxed structure of CdIn2As.

Cell lengths 4.417, 4.417, 5.020 Å; angles 90.00, 90.00, 90.00 degrees
Fractional coordinates of all 4 atoms:
Cd1 0.000 0.000 0.000
In1 0.000 0.500 0.500
In2 0.500 0.000 0.500
As1 0.500 0.500 0.000

Summary:
calculated formation energy	104	meV/atom
offset from the most stable computed form	0.0997	eV per atom
space-group type	No. 123
M_tot	0.00	μB/cell

No. 18
VASP calculation (PBE) on a relaxed structure of ReOsAu2.

Cell lengths 4.973, 4.973, 4.818 Å; angles 99.59, 99.59, 33.12 degrees
Fractional coordinates of all 4 atoms:
Re1 0.000 0.000 0.000
Os1 0.500 0.500 0.500
Au1 0.251 0.251 0.751
Au2 0.749 0.749 0.249

Summary:
calculated formation energy	595	meV/atom
offset from the most stable computed form	0.3773	eV per atom
space-group type	No. 12
M_tot	0.00	μB/cell

No. 19
VASP calculation (PBE) on a relaxed structure of HoSc3Tl4Te8.

Cell lengths 9.544, 9.544, 9.544 Å; angles 53.68, 53.68, 53.68 degrees
Fractional coordinates of all 16 atoms:
Ho1 0.000 0.000 0.000
Sc1 0.000 0.500 0.500
Sc2 0.500 0.000 0.500
Sc3 0.500 0.500 0.000
Tl1 0.000 0.000 0.500
Tl2 0.000 0.500 0.000
Tl3 0.500 0.000 0.000
Tl4 0.500 0.500 0.500
Te1 0.240 0.240 0.726
Te2 0.240 0.726 0.240
Te3 0.266 0.266 0.266
Te4 0.274 0.760 0.760
Te5 0.726 0.240 0.240
Te6 0.734 0.734 0.734
Te7 0.760 0.274 0.760
Te8 0.760 0.760 0.274

Summary:
energy relative to the elements, uncorrected	-0.9503	eV per atom
space-group type	No. 166
M_tot	0.00	μB/cell

No. 20
VASP calculation (PBE) on a relaxed structure of CsKSnPd2.

Cell lengths 5.249, 5.249, 6.431 Å; angles 90.00, 90.00, 90.00 degrees
Fractional coordinates of all 5 atoms:
Cs1 0.000 0.000 0.000
K1 0.500 0.500 0.000
Sn1 0.000 0.000 0.500
Pd1 0.000 0.500 0.500
Pd2 0.500 0.000 0.500

Summary:
calculated formation energy	192	meV/atom
space-group type	No. 123
M_tot	0.00	μB/cell

No. 21
VASP calculation (PBE) on a relaxed structure of Rb2PmHg2S4.

Cell lengths 8.442, 8.442, 8.330 Å; angles 112.39, 112.39, 28.31 degrees
Fractional coordinates of all 9 atoms:
Rb1 0.126 0.126 0.061
Rb2 0.874 0.874 0.939
Pm1 0.000 0.000 0.500
Hg1 0.311 0.311 0.476
Hg2 0.689 0.689 0.524
S1 0.186 0.186 0.724
S2 0.475 0.475 0.715
S3 0.525 0.525 0.285
S4 0.814 0.814 0.276

Summary:
energy relative to the elements, uncorrected	-0.9797	eV per atom
space-group type	No. 12
M_tot	0.00	μB/cell

No. 22
VASP calculation (PBE) on a relaxed structure of TbSiF.

Cell lengths 7.103, 7.103, 3.805 Å; angles 90.00, 90.00, 148.19 degrees
Fractional coordinates of all 6 atoms:
Tb1 0.136 0.864 0.750
Tb2 0.864 0.136 0.250
Si1 0.451 0.549 0.750
Si2 0.549 0.451 0.250
F1 0.255 0.745 0.250
F2 0.745 0.255 0.750

Summary:
energy relative to the elements, uncorrected	-2.1468	eV per atom
offset from the most stable computed form	0.0000	eV per atom
space-group type	No. 63
M_tot	0.00	μB/cell

No. 23
VASP calculation (PBE) on a relaxed structure of Sr2LiAg2.

Cell lengths 6.481, 6.481, 11.797 Å; angles 116.53, 116.53, 42.00 degrees
Fractional coordinates of all 10 atoms:
Sr1 0.003 0.003 0.330
Sr2 0.188 0.188 0.108
Sr3 0.812 0.812 0.892
Sr4 0.997 0.997 0.670
Li1 0.278 0.278 0.627
Li2 0.722 0.722 0.373
Ag1 0.361 0.361 0.434
Ag2 0.487 0.487 0.116
Ag3 0.513 0.513 0.884
Ag4 0.639 0.639 0.566

Summary:
calculated formation energy	-257	meV/atom
offset from the most stable computed form	0.0000	eV per atom
space-group type	No. 12
M_tot	0.00	μB/cell

No. 24
VASP calculation (PBE) on a relaxed structure of LiHgIr.

Cell lengths 4.117, 4.117, 4.117 Å; angles 60.00, 60.00, 60.00 degrees
Fractional coordinates of all 3 atoms:
Li1 0.000 0.000 0.000
Hg1 0.250 0.250 0.250
Ir1 0.750 0.750 0.750

Summary:
calculated formation energy	449	meV/atom
offset from the most stable computed form	0.3093	eV per atom
space-group type	No. 216
M_tot	0.00	μB/cell

No. 25
VASP calculation (PBE) on a relaxed structure of Tl2Ga2Pt.

Cell lengths 6.582, 6.582, 5.371 Å; angles 90.00, 90.00, 90.00 degrees
Fractional coordinates of all 10 atoms:
Tl1 0.188 0.312 0.000
Tl2 0.312 0.812 0.000
Tl3 0.688 0.188 0.000
Tl4 0.812 0.688 0.000
Ga1 0.145 0.645 0.500
Ga2 0.355 0.145 0.500
Ga3 0.645 0.855 0.500
Ga4 0.855 0.355 0.500
Pt1 0.000 0.000 0.500
Pt2 0.500 0.500 0.500

Summary:
calculated formation energy	-128	meV/atom
space-group type	No. 127
M_tot	0.00	μB/cell